The following is a DFT calculation (GGA-PBE) of crystalline Pm5Ho2Sb4 at its relaxed geometry.

The value obtained for the density of states at the Fermi level is 22.754 states/eV/cell. The value obtained for the uncorrected formation energy is -447 kJ/mol of formula units. The final energy comes out at -4.9118 eV/atom.

The space group is C2/m (No. 12) and the conventional cell measures 24.7474, 4.2887 and 7.4969 Å, with angles of 90.00, 94.54 and 90.00 degrees. The asymmetric unit holds Pm at (0.0000, 0.0000, 0.0000), Pm at (0.1647, 0.5000, 0.9801), Pm at (0.1790, 0.5000, 0.4696), Ho at (0.0530, 0.5000, 0.6525), Sb at (0.0662, 0.5000, 0.2475) and Sb at (0.2270, 0.0000, 0.2252).